Record 1
# Cs2Y2Au, relaxed, DFT PBE-GGA
# magnetic moment	0.0	Bohr magnetons per cell
# calculated density	4852	kg/m³
# DFT formation energy	0.179	eV per atom
# uncorrected energy	-3.40	eV/atom
# volume	43.8	Å³ per atom
data_Cs2Y2Au
_cell_length_a 7.699
_cell_length_b 7.699
_cell_length_c 7.397
_cell_angle_alpha 90.00
_cell_angle_beta 90.00
_cell_angle_gamma 90.00
_symmetry_space_group_name_H-M 'P 4/m b m'
_symmetry_Int_Tables_number 127
_symmetry_space_group_name_Hall '-P 4 2ab'
loop_
_atom_site_label
_atom_site_type_symbol
_atom_site_fract_x
_atom_site_fract_y
_atom_site_fract_z
Cs1 Cs 0.194 0.306 0.000
Y1 Y 0.170 0.670 0.500
Au1 Au 0.000 0.000 0.500


Record 2
# Si2RhSe, relaxed, DFT PBE-GGA
# magnetic moment	0.0	Bohr magnetons per cell
# calculated density	5983	kg/m³
# raw formation energy	0.024	eV/atom
# uncorrected energy	-5.40	eV/atom
# volume	16.5	Å³ per atom
data_Si2RhSe
_cell_length_a 5.118
_cell_length_b 5.118
_cell_length_c 5.044
_cell_angle_alpha 90.00
_cell_angle_beta 90.00
_cell_angle_gamma 90.00
_symmetry_space_group_name_H-M 'I 4/m m m'
_symmetry_Int_Tables_number 139
_symmetry_space_group_name_Hall '-I 4 2'
loop_
_atom_site_label
_atom_site_type_symbol
_atom_site_fract_x
_atom_site_fract_y
_atom_site_fract_z
Si1 Si 0.000 0.500 0.000
Rh1 Rh 0.000 0.000 0.000
Se1 Se 0.000 0.000 0.500